(1)
4
Lattice="3.698 0.000 0.000 0.000 3.698 0.000 0.000 0.000 8.799" Properties=species:S:1:pos:R:3 comment="CdPbBr2 SCAN PBEsol geometry" sg="P4/mmm (123)" de_polymorph_ev_per_atom=0.021 formation_energy_uncorrected_ev_per_atom=-0.424 pbc="T T T"
Cd 0.000 0.000 0.000
Pb 0.000 0.000 4.400
Br 1.849 1.849 2.640
Br 1.849 1.849 6.160

=====

(2)
5
Lattice="-1.895 1.895 6.112 1.895 -1.895 6.112 1.895 1.895 -6.112" Properties=species:S:1:pos:R:3 comment="Sr2CoN2 SCAN PBEsol geometry" sg="I4/mmm (139)" formation_energy_uncorrected_ev_per_atom=-0.678 pbc="T T T"
Sr 0.000 0.000 1.763
Sr 0.000 0.000 10.461
Co 0.000 0.000 6.112
N 0.000 0.000 4.403
N 0.000 0.000 7.821

=====

(3)
16
Lattice="-2.053 4.201 7.864 2.053 -4.201 7.864 2.053 4.201 -7.864" Properties=species:S:1:pos:R:3 comment="DyNiGe2 SCAN PBEsol geometry" sg="Immm (71)" pbc="T T T"
Dy 0.000 0.000 3.218
Dy 0.000 2.028 0.000
Dy 0.000 6.374 0.000
Dy 0.000 0.000 12.509
Ni 2.053 2.093 -2.328
Ni 2.053 2.093 2.328
Ni 0.000 2.108 5.536
Ni 0.000 2.108 10.191
Ge 2.053 0.000 1.212
Ge 2.053 -1.324 4.781
Ge 0.000 0.000 6.602
Ge 2.053 1.324 4.781
Ge 0.000 2.877 3.083
Ge 0.000 0.000 9.125
Ge 0.000 5.525 3.083
Ge 0.000 4.201 6.651

=====

(4)
4
Lattice="1.595 0.921 8.175 -1.595 0.921 8.175 0.000 -1.842 8.175" Properties=species:S:1:pos:R:3 comment="Sc2BeC SCAN PBEsol geometry" sg="R-3m (166)" de_polymorph_ev_per_atom=0.935 pbc="T T T"
Sc 0.000 0.000 2.131
Sc 0.000 0.000 22.394
Be 0.000 0.000 12.263
C 0.000 0.000 0.000

=====

(5)
4
Lattice="2.868 0.000 0.000 0.000 2.868 0.000 0.000 0.000 6.448" Properties=species:S:1:pos:R:3 comment="ZnSiIr2 SCAN PBEsol geometry" sg="P4/mmm (123)" formation_energy_uncorrected_ev_per_atom=-0.535 pbc="T T T"
Zn 0.000 0.000 0.000
Si 0.000 0.000 3.224
Ir 1.434 1.434 1.785
Ir 1.434 1.434 4.663

=====

(6)
5
Lattice="3.951 0.000 0.000 0.000 3.951 0.000 0.000 0.000 3.951" Properties=species:S:1:pos:R:3 comment="TeIrO3 SCAN PBEsol geometry" sg="Pm-3m (221)" formation_energy_uncorrected_ev_per_atom=-0.141 pbc="T T T"
Te 0.000 0.000 0.000
Ir 1.975 1.975 1.975
O 0.000 1.975 1.975
O 1.975 0.000 1.975
O 1.975 1.975 0.000

=====

(7)
6
Lattice="4.480 0.000 0.000 0.000 4.480 0.000 0.000 0.000 6.639" Properties=species:S:1:pos:R:3 comment="Si2Te SCAN PBEsol geometry" sg="P4/nmm (129)" de_polymorph_ev_per_atom=0.299 formation_energy_uncorrected_ev_per_atom=0.326 pbc="T T T"
Si 1.120 1.120 0.962
Si 1.120 3.360 0.000
Si 3.360 1.120 0.000
Si 3.360 3.360 5.676
Te 1.120 1.120 3.508
Te 3.360 3.360 3.131

=====

(8)
10
Lattice="0.000 5.711 5.711 5.711 0.000 5.711 5.711 5.711 0.000" Properties=species:S:1:pos:R:3 comment="Rb2TlInBr6 SCAN PBEsol geometry" sg="Fm-3m (225)" formation_energy_uncorrected_ev_per_atom=-1.320 pbc="T T T"
Rb 2.856 2.856 2.856
Rb 8.567 8.567 8.567
Tl 0.000 0.000 0.000
In 5.711 5.711 5.711
Br 5.711 5.711 3.040
Br 5.711 3.040 5.711
Br 8.382 5.711 5.711
Br 3.040 5.711 5.711
Br 5.711 8.382 5.711
Br 5.711 5.711 8.382

=====

(9)
10
Lattice="3.820 0.000 0.000 0.000 11.896 0.000 0.000 0.000 3.818" Properties=species:S:1:pos:R:3 comment="Bi2SO2 SCAN PBEsol geometry" sg="Pnnm (58)" formation_energy_uncorrected_ev_per_atom=-0.894 pbc="T T T"
Bi 0.080 1.688 0.000
Bi 1.830 7.636 1.909
Bi 1.990 4.259 1.909
Bi 3.740 10.207 0.000
S 0.000 5.948 0.000
S 1.910 0.000 1.909
O 0.061 2.975 1.909
O 1.849 8.923 0.000
O 1.971 2.973 0.000
O 3.758 8.921 1.909

=====

(10)
5
Lattice="4.640 0.000 0.000 0.000 4.640 0.000 0.000 0.000 4.362" Properties=species:S:1:pos:R:3 comment="AsP2IrCl SCAN PBEsol geometry" sg="P4/mmm (123)" formation_energy_uncorrected_ev_per_atom=1.531 pbc="T T T"
As 0.000 0.000 0.000
P 0.000 2.320 0.000
P 2.320 0.000 0.000
Ir 2.320 2.320 2.181
Cl 0.000 0.000 2.181

=====

(11)
40
Lattice="11.351 0.000 0.000 0.000 11.575 0.000 0.000 0.000 4.923" Properties=species:S:1:pos:R:3 comment="KAsO3 SCAN PBEsol geometry" sg="Pbcn (60)" formation_energy_uncorrected_ev_per_atom=-1.671 pbc="T T T"
K 0.000 1.265 1.231
K 0.000 3.590 3.692
K 0.000 7.985 1.231
K 0.000 10.310 3.692
K 5.676 2.197 1.231
K 5.676 4.523 3.692
K 5.676 7.053 1.231
K 5.676 9.378 3.692
As 2.613 4.759 1.088
As 2.613 6.816 3.549
As 3.062 1.028 3.549
As 3.062 10.547 1.088
As 8.289 1.028 3.835
As 8.289 10.547 1.374
As 8.738 4.759 1.374
As 8.738 6.816 3.835
O 1.408 1.156 3.690
O 1.408 10.419 1.229
O 1.564 3.527 1.439
O 1.564 8.048 3.900
O 2.100 5.287 4.370
O 2.100 6.288 1.909
O 3.576 0.501 1.909
O 3.576 11.074 4.370
O 4.111 2.261 3.900
O 4.111 9.315 1.439
O 4.268 4.632 1.229
O 4.268 6.943 3.690
O 7.083 4.632 1.233
O 7.083 6.943 3.695
O 7.240 2.261 3.484
O 7.240 9.315 1.023
O 7.775 0.501 0.553
O 7.775 11.074 3.014
O 9.251 5.287 3.014
O 9.251 6.288 0.553
O 9.787 3.527 1.023
O 9.787 8.048 3.484
O 9.943 1.156 3.695
O 9.943 10.419 1.233

=====

(12)
5
Lattice="4.165 0.000 0.000 0.000 4.165 0.000 0.000 0.000 4.165" Properties=species:S:1:pos:R:3 comment="SiNi3As SCAN PBEsol geometry" sg="Pm-3m (221)" formation_energy_uncorrected_ev_per_atom=0.416 pbc="T T T"
Si 0.000 0.000 0.000
Ni 0.000 0.000 2.083
Ni 0.000 2.083 0.000
Ni 2.083 0.000 0.000
As 2.083 2.083 2.083

=====

no.,total energy (eV/atom)
1,-36.702
2,-16.765
3,-26.331
4,-9.635
5,-41.967
6,-25.550
7,-18.769
8,-27.718
9,-36.744
10,-22.482
11,-11.113
12,-15.330